No. 1
The following is a DFT calculation (PBE) of SrTeMo after structural relaxation.

a = 4.268 Å, b = 4.268 Å, c = 9.419 Å
α = 90.00°, β = 90.00°, γ = 90.00°
Sites, in units of the cell vectors:
Sr 0.500 0.000 0.171
Te 0.000 0.500 0.318
Mo 0.500 0.500 0.500
Sr 0.000 0.500 0.829
Mo 0.000 0.000 0.500
Te 0.500 0.000 0.682

DOS at the Fermi energy   7.4 states/eV/cell
Calculated density   6.02 g/cm³
Polymorph energy (0 for the lowest one)   0.0000 eV per atom
Final energy   -32.44 eV/cell
Uncorrected formation energy   -0.188 eV per atom
Symmetry   P4/nmm

***

No. 2
The following is a DFT calculation (PBE) of SrTe2Mo after structural relaxation.

a = 4.031 Å, b = 4.330 Å, c = 7.630 Å
α = 79.38°, β = 90.00°, γ = 90.00°
Sites, in units of the cell vectors:
Te 0.000 0.327 0.496
Sr 0.500 0.750 0.750
Te 0.000 0.173 0.004
Mo 0.500 0.250 0.250

DOS at the Fermi energy   0.4 states/eV/cell
Calculated density   5.57 g/cm³
Polymorph energy (0 for the lowest one)   0.2082 eV per atom
Final energy   -19.84 eV/cell
Uncorrected formation energy   -0.262 eV per atom
Symmetry   P2/m

***

No. 3
The following is a DFT calculation (PBE) of SrTe2Mo after structural relaxation.

a = 6.680 Å, b = 6.680 Å, c = 6.680 Å
α = 141.04°, β = 141.04°, γ = 56.28°
Sites, in units of the cell vectors:
Te 0.250 0.750 0.500
Mo 0.500 0.500 0.000
Sr 0.750 0.250 0.500
Te 0.000 0.000 0.000

DOS at the Fermi energy   2.0 states/eV/cell
Calculated density   6.23 g/cm³
Polymorph energy (0 for the lowest one)   0.4878 eV per atom
Final energy   -18.72 eV/cell
Uncorrected formation energy   0.018 eV per atom
Symmetry   I-4m2

***

No. 4
The following is a DFT calculation (PBE) of SrTi2Mo after structural relaxation.

a = 4.840 Å, b = 4.840 Å, c = 4.840 Å
α = 60.00°, β = 60.00°, γ = 60.00°
Sites, in units of the cell vectors:
Ti 0.750 0.750 0.750
Sr 0.000 0.000 0.000
Mo 0.500 0.500 0.500
Ti 0.250 0.250 0.250

DOS at the Fermi energy   6.7 states/eV/cell
Calculated density   5.78 g/cm³
Polymorph energy (0 for the lowest one)   0.0000 eV per atom
Final energy   -25.38 eV/cell
Symmetry   Fm-3m